# 1
First-principles (GGA-PBE) data for Pd5S after structural relaxation, as listed in Alexandria via LeMat-Bulk.

Structure (POSCAR):
```
Pd5S
1.0
-2.509 0.068 2.174
-2.314 -6.900 0.079
0.910 -3.252 3.688
Pd S
5 1
Direct
0.058 0.005 0.879
0.685 0.626 0.004
0.303 0.275 0.118
0.384 0.792 0.440
0.996 0.457 0.552
0.741 0.012 0.506
```

Properties
Volume: 93.80 Å³ per cell
N(E_F): 0.8477 states/eV/atom
Space-group type: Cm, No. 8
Energy relative to the elements, uncorrected: -19 meV/atom

# 2
First-principles (GGA-PBE) data for PdS after structural relaxation, as listed in Alexandria via LeMat-Bulk.

Structure (POSCAR):
```
PdS
1.0
-2.045 1.619 -8.730
-1.122 -8.351 3.469
-3.706 0.930 1.041
Pd S
6 6
Direct
0.949 0.372 0.250
0.577 0.949 0.750
0.628 0.577 0.250
0.051 0.628 0.750
0.423 0.051 0.250
0.372 0.423 0.750
0.707 0.110 0.250
0.597 0.707 0.750
0.890 0.597 0.250
0.293 0.890 0.750
0.403 0.293 0.250
0.110 0.403 0.750
```

Properties
Volume: 284.77 Å³ per cell
N(E_F): 0.5572 states/eV/atom
Space-group type: P6_3/m, No. 176
Energy relative to the elements, uncorrected: -125 meV/atom

# 3
First-principles (GGA-PBE) data for Sb2Pd5S2 after structural relaxation, as listed in Alexandria via LeMat-Bulk.

Structure (POSCAR):
```
Sb2Pd5S2
1.0
4.611 0.000 0.000
-2.306 6.341 -1.695
0.000 -3.092 6.814
Sb Pd S
2 5 2
Direct
0.367 0.734 0.648
0.633 0.266 0.352
0.366 0.733 0.000
0.634 0.267 0.000
0.115 0.231 0.518
0.885 0.769 0.482
0.000 0.000 0.000
0.126 0.252 0.856
0.874 0.748 0.144
```

Properties
Volume: 175.10 Å³ per cell
N(E_F): 0.6380 states/eV/atom
Space-group type: C2/m, No. 12
Energy relative to the elements, uncorrected: -235 meV/atom

# 4
First-principles (GGA-PBE) data for SbPd5S after structural relaxation, as listed in Alexandria via LeMat-Bulk.

Structure (POSCAR):
```
SbPd5S
1.0
-1.329 5.256 3.457
2.728 -0.500 5.801
6.863 5.528 1.696
Sb Pd S
2 10 2
Direct
0.534 0.466 0.250
0.466 0.534 0.750
0.796 0.709 0.235
0.326 0.705 0.471
0.709 0.796 0.735
0.899 0.101 0.250
0.295 0.674 0.029
0.705 0.326 0.971
0.101 0.899 0.750
0.291 0.204 0.265
0.674 0.295 0.529
0.204 0.291 0.765
0.000 0.000 0.000
0.000 0.000 0.500
```

Properties
Volume: 292.69 Å³ per cell
N(E_F): 0.5398 states/eV/atom
Space-group type: C2/c, No. 15
Energy relative to the elements, uncorrected: -80 meV/atom

# 5
First-principles (GGA-PBE) data for SbPd6S after structural relaxation, as listed in Alexandria via LeMat-Bulk.

Structure (POSCAR):
```
SbPd6S
1.0
-5.632 -3.157 4.177
-6.232 -4.505 -0.098
-3.153 -6.551 2.507
Sb Pd S
1 6 1
Direct
0.500 0.500 0.500
0.630 0.630 0.630
0.116 0.116 0.116
0.884 0.884 0.884
0.370 0.370 0.370
0.243 0.243 0.243
0.757 0.757 0.757
0.000 0.000 0.000
```

Properties
Volume: 128.11 Å³ per cell
N(E_F): 0.6650 states/eV/atom
Space-group type: R-3m, No. 166
Energy relative to the elements, uncorrected: -142 meV/atom

# 6
First-principles (GGA-PBE) data for SbPd2S after structural relaxation, as listed in Alexandria via LeMat-Bulk.

Structure (POSCAR):
```
SbPd2S
1.0
-1.255 4.013 4.028
-0.915 -4.214 3.914
4.180 0.098 5.414
Sb S Pd
2 2 4
Direct
0.000 0.000 0.000
0.750 0.250 0.500
0.500 0.500 0.000
0.250 0.750 0.500
0.581 0.125 0.250
0.169 0.625 0.250
0.375 0.419 0.750
0.875 0.831 0.750
```

Properties
Volume: 185.25 Å³ per cell
N(E_F): 0.6706 states/eV/atom
Space-group type: I-42d, No. 122
Energy relative to the elements, uncorrected: -139 meV/atom